Entry 1:
Here is DyCu3 after structural relaxation from the Alexandria database. Energies are from PBE.

Cell lengths 5.152, 5.152, 6.819 Å; angles 90.00, 90.00, 133.97 degrees
Atoms (fractional coordinates):
Dy: 0.072 0.928 0.750
Dy: 0.928 0.072 0.250
Cu: 0.218 0.782 0.250
Cu: 0.365 0.635 0.561
Cu: 0.365 0.635 0.939
Cu: 0.635 0.365 0.061
Cu: 0.635 0.365 0.439
Cu: 0.782 0.218 0.750

## Properties
The calculation puts the mass density at 9.00 g/cm³. For the formation enthalpy at 0 K, the calculation gives -0.222 eV per atom. For the density of states at the Fermi level, the calculation gives 2.17 states/eV/f.u.

Entry 2:
Here is Na3AlMo after structural relaxation from the Alexandria database. Energies are from PBE.

Cell lengths 5.829, 5.829, 5.829 Å; angles 90.00, 90.00, 90.00 degrees
Atoms (fractional coordinates):
Na: 0.000 0.000 0.500
Na: 0.000 0.500 0.000
Na: 0.500 0.000 0.000
Al: 0.500 0.500 0.500
Mo: 0.000 0.000 0.000

## Properties
The calculation puts the mass density at 1.61 g/cm³. For the formation enthalpy at 0 K, the calculation gives 1.437 eV per atom. As for the energy above the most stable polymorph in this dataset: 0.1247 eV per atom. For the density of states at the Fermi level, the calculation gives 3.22 states/eV/f.u.

Entry 3:
Here is Zr2ScSb after structural relaxation from the Alexandria database. Energies are from PBE.

Cell lengths 3.637, 4.580, 5.668 Å; angles 90.00, 102.81, 90.00 degrees
Atoms (fractional coordinates):
Zr: 0.000 0.000 0.000
Zr: 0.224 0.500 0.622
Sc: 0.651 0.000 0.475
Sb: 0.558 0.500 0.158

## Properties
The calculation puts the mass density at 6.30 g/cm³. For the density of states at the Fermi level, the calculation gives 3.07 states/eV/f.u. Its uncorrected energy is -0.531 Ry per atom.

Entry 4:
Here is YIn2Ni after structural relaxation from the Alexandria database. Energies are from PBE.

Cell lengths 3.704, 4.561, 5.477 Å; angles 90.00, 104.13, 90.00 degrees
Atoms (fractional coordinates):
Y: 0.000 0.000 0.000
In: 0.356 0.500 0.720
In: 0.644 0.500 0.280
Ni: 0.500 0.000 0.500

## Properties
The calculation puts the mass density at 6.98 g/cm³. For the formation enthalpy at 0 K, the calculation gives -0.205 eV per atom. For the density of states at the Fermi level, the calculation gives 2.48 states/eV/f.u.

Entry 5:
Here is Rb12Au3Br5 after structural relaxation from the Alexandria database. Energies are from PBE.

Cell lengths 17.877, 17.877, 17.877 Å; angles 109.47, 109.47, 109.47 degrees
Atoms (fractional coordinates):
Rb: 0.050 0.221 0.134
Rb: 0.050 0.329 0.916
Rb: 0.084 0.634 0.413
Rb: 0.084 0.950 0.671
Rb: 0.087 0.721 0.671
Rb: 0.087 0.866 0.416
Rb: 0.134 0.050 0.221
Rb: 0.134 0.584 0.913
Rb: 0.171 0.221 0.587
Rb: 0.171 0.450 0.584
Rb: 0.221 0.134 0.050
Rb: 0.221 0.587 0.171
Rb: 0.279 0.329 0.913
Rb: 0.279 0.450 0.366
Rb: 0.329 0.913 0.279
Rb: 0.329 0.916 0.050
Rb: 0.366 0.279 0.450
Rb: 0.366 0.587 0.916
Rb: 0.413 0.084 0.634
Rb: 0.413 0.829 0.779
Rb: 0.416 0.087 0.866
Rb: 0.416 0.829 0.550
Rb: 0.450 0.366 0.279
Rb: 0.450 0.584 0.171
Rb: 0.550 0.416 0.829
Rb: 0.550 0.634 0.721
Rb: 0.584 0.171 0.450
Rb: 0.584 0.913 0.134
Rb: 0.587 0.171 0.221
Rb: 0.587 0.916 0.366
Rb: 0.634 0.413 0.084
Rb: 0.634 0.721 0.550
Rb: 0.671 0.084 0.950
Rb: 0.671 0.087 0.721
Rb: 0.721 0.550 0.634
Rb: 0.721 0.671 0.087
Rb: 0.779 0.413 0.829
Rb: 0.779 0.866 0.950
Rb: 0.829 0.550 0.416
Rb: 0.829 0.779 0.413
Rb: 0.866 0.416 0.087
Rb: 0.866 0.950 0.779
Rb: 0.913 0.134 0.584
Rb: 0.913 0.279 0.329
Rb: 0.916 0.050 0.329
Rb: 0.916 0.366 0.587
Rb: 0.950 0.671 0.084
Rb: 0.950 0.779 0.866
Au: 0.125 0.250 0.375
Au: 0.125 0.375 0.750
Au: 0.250 0.375 0.125
Au: 0.250 0.875 0.625
Au: 0.375 0.125 0.250
Au: 0.375 0.750 0.125
Au: 0.625 0.250 0.875
Au: 0.625 0.875 0.750
Au: 0.750 0.125 0.375
Au: 0.750 0.625 0.875
Au: 0.875 0.625 0.250
Au: 0.875 0.750 0.625
Br: 0.000 0.000 0.000
Br: 0.000 0.000 0.500
Br: 0.000 0.500 0.000
Br: 0.000 0.500 0.500
Br: 0.125 0.750 0.875
Br: 0.125 0.875 0.250
Br: 0.250 0.125 0.875
Br: 0.250 0.625 0.375
Br: 0.375 0.250 0.625
Br: 0.375 0.625 0.750
Br: 0.500 0.000 0.000
Br: 0.500 0.000 0.500
Br: 0.500 0.500 0.000
Br: 0.500 0.500 0.500
Br: 0.625 0.375 0.250
Br: 0.625 0.750 0.375
Br: 0.750 0.375 0.625
Br: 0.750 0.875 0.125
Br: 0.875 0.125 0.750
Br: 0.875 0.250 0.125

## Properties
The calculation puts the mass density at 3.04 g/cm³. For the density of states at the Fermi level, the calculation gives 8.51 states/eV/f.u. Its uncorrected energy is -0.172 Ry per atom.

Entry 6:
Here is PrNd3Ir2 after structural relaxation from the Alexandria database. Energies are from PBE.

Cell lengths 4.862, 9.035, 7.406 Å; angles 90.00, 90.00, 90.00 degrees
Atoms (fractional coordinates):
Pr: 0.000 0.087 0.000
Pr: 0.000 0.913 0.500
Nd: 0.000 0.339 0.637
Nd: 0.000 0.661 0.137
Nd: 0.500 0.163 0.358
Nd: 0.500 0.413 0.994
Nd: 0.500 0.587 0.494
Nd: 0.500 0.837 0.858
Ir: 0.000 0.332 0.242
Ir: 0.000 0.668 0.742
Ir: 0.500 0.170 0.752
Ir: 0.500 0.830 0.252

## Properties
The calculation puts the mass density at 9.78 g/cm³. For the formation enthalpy at 0 K, the calculation gives -0.557 eV per atom. As for the energy above the most stable polymorph in this dataset: 0.0000 eV per atom. For the density of states at the Fermi level, the calculation gives 5.02 states/eV/f.u.

Entry 7:
Here is CrFeHPd2 after structural relaxation from the Alexandria database. Energies are from PBE.

Cell lengths 3.787, 3.787, 3.890 Å; angles 90.00, 90.00, 90.00 degrees
Atoms (fractional coordinates):
Cr: 0.000 0.000 0.000
Fe: 0.500 0.500 0.000
H: 0.000 0.000 0.500
Pd: 0.000 0.500 0.500
Pd: 0.500 0.000 0.500

## Properties
The calculation puts the mass density at 9.58 g/cm³. For the density of states at the Fermi level, the calculation gives 8.06 states/eV/f.u. Its uncorrected energy is -0.445 Ry per atom.

Entry 8:
Here is PRhIN2 after structural relaxation from the Alexandria database. Energies are from PBE.

Cell lengths 3.786, 3.786, 8.378 Å; angles 90.00, 90.00, 90.00 degrees
Atoms (fractional coordinates):
P: 0.000 0.000 0.000
Rh: 0.500 0.500 0.500
I: 0.500 0.500 0.000
N: 0.000 0.500 0.500
N: 0.500 0.000 0.500

## Properties
The calculation puts the mass density at 3.99 g/cm³. As for the energy above the most stable polymorph in this dataset: 0.1573 eV per atom. For the density of states at the Fermi level, the calculation gives 3.64 states/eV/f.u.

What is the formula in the fifth record? Rb12Au3Br5

What is the formula in the third record? Zr2ScSb

The lowest mass density belongs to which entry? Na3AlMo